CaLa2Co2Sb2Pb2O12: relaxed, GGA+U.

## Properties
Calculated total energy (eV for the cell shown): -134.7
Distance to the lowest polymorph of the same formula (meV per atom): 71.5
Space group: P1
M_tot (μB per formula unit): 4.00

Lattice parameters (Å, degrees): 6.461 6.625 7.720 88.45 87.39 85.04
Element x y z (fractional)
Ca: 0.000 0.000 0.000
La: 0.226 0.500 0.761
La: 0.610 0.156 0.374
Co: 0.351 0.783 0.188
Co: 0.680 0.639 0.543
Sb: 0.144 0.950 0.523
Sb: 0.708 0.459 0.995
Pb: 0.104 0.452 0.286
Pb: 0.575 0.941 0.807
O: 0.006 0.342 0.952
O: 0.018 0.671 0.526
O: 0.132 0.989 0.264
O: 0.206 0.876 0.769
O: 0.285 0.220 0.540
O: 0.407 0.572 0.035
O: 0.442 0.822 0.442
O: 0.612 0.460 0.746
O: 0.650 0.167 0.056
O: 0.745 0.466 0.263
O: 0.814 0.731 0.966
O: 0.865 0.089 0.565